Record 1
Entry from Alexandria: a relaxed FeTe2I crystal (PBE-GGA).

Values from the calculation:
ρ	6.998	g cm⁻³
total moment	0.00	μB per atom
formation energy (no corrections)	40	meV per atom
SG	R-3m

Cell lengths 8.639, 8.639, 8.639 Å; angles 25.34, 25.34, 25.34 degrees
Atoms (fractional coordinates):
Fe  0.000  0.000  0.000
Te  0.280  0.280  0.280
Te  0.720  0.720  0.720
I  0.500  0.500  0.500



Record 2
Entry from Alexandria: a relaxed FeTe2I crystal (PBE-GGA).

Values from the calculation:
ρ	6.973	g cm⁻³
total moment	0.81	μB per atom
formation energy (no corrections)	781	meV per atom
SG	Fm-3m

Cell lengths 5.284, 5.284, 5.284 Å; angles 60.00, 60.00, 60.00 degrees
Atoms (fractional coordinates):
Fe  0.000  0.000  0.000
Te  0.250  0.250  0.250
Te  0.750  0.750  0.750
I  0.500  0.500  0.500



Record 3
Entry from Alexandria: a relaxed Fe2TeI crystal (PBE-GGA).

Values from the calculation:
ρ	6.591	g cm⁻³
total moment	0.00	μB per atom
formation energy (no corrections)	616	meV per atom
SG	I-42d

Cell lengths 6.960, 6.960, 6.960 Å; angles 131.62, 131.62, 70.82 degrees
Atoms (fractional coordinates):
Fe  0.124  0.625  0.999
Fe  0.375  0.374  0.499
Fe  0.626  0.125  0.001
Fe  0.875  0.876  0.501
Te  0.000  0.000  0.000
Te  0.750  0.250  0.500
I  0.250  0.750  0.500
I  0.500  0.500  0.000



Record 4
Entry from Alexandria: a relaxed Fe2TeI crystal (PBE-GGA).

Values from the calculation:
ρ	7.617	g cm⁻³
total moment	1.46	μB per atom
formation energy (no corrections)	788	meV per atom
SG	Fm-3m

Cell lengths 4.833, 4.833, 4.833 Å; angles 60.00, 60.00, 60.00 degrees
Atoms (fractional coordinates):
Fe  0.250  0.250  0.250
Fe  0.750  0.750  0.750
Te  0.000  0.000  0.000
I  0.500  0.500  0.500



Record 5
Entry from Alexandria: a relaxed FeTe3I crystal (PBE-GGA).

Values from the calculation:
ρ	7.024	g cm⁻³
total moment	0.00	μB per atom
formation energy (no corrections)	413	meV per atom
SG	Pm-3m

Cell lengths 5.113, 5.113, 5.113 Å; angles 90.00, 90.00, 90.00 degrees
Atoms (fractional coordinates):
Fe  0.000  0.000  0.000
Te  0.000  0.000  0.500
Te  0.000  0.500  0.000
Te  0.500  0.000  0.000
I  0.500  0.500  0.500



Record 6
Entry from Alexandria: a relaxed FeTe2I crystal (PBE-GGA).

Values from the calculation:
ρ	5.578	g cm⁻³
total moment	0.21	μB per atom
formation energy (no corrections)	197	meV per atom
SG	I-42d

Cell lengths 7.252, 7.252, 7.252 Å; angles 122.07, 122.07, 86.46 degrees
Atoms (fractional coordinates):
Fe  0.000  0.000  0.000
Fe  0.750  0.250  0.500
Te  0.010  0.625  0.885
Te  0.375  0.260  0.385
Te  0.740  0.125  0.115
Te  0.875  0.990  0.615
I  0.250  0.750  0.500
I  0.500  0.500  0.000



Record 7
Entry from Alexandria: a relaxed FeTeI3 crystal (PBE-GGA).

Values from the calculation:
ρ	6.549	g cm⁻³
total moment	0.00	μB per atom
formation energy (no corrections)	469	meV per atom
SG	Pm-3m

Cell lengths 5.230, 5.230, 5.230 Å; angles 90.00, 90.00, 90.00 degrees
Atoms (fractional coordinates):
Fe  0.000  0.000  0.000
Te  0.500  0.500  0.500
I  0.000  0.000  0.500
I  0.000  0.500  0.000
I  0.500  0.000  0.000



Record 8
Entry from Alexandria: a relaxed Fe2Te2I7 crystal (PBE-GGA).

Values from the calculation:
ρ	3.461	g cm⁻³
total moment	0.80	μB per atom
formation energy (no corrections)	-42	meV per atom
SG	C2/m

Cell lengths 7.537, 7.537, 12.515 Å; angles 98.50, 98.50, 117.83 degrees
Atoms (fractional coordinates):
Fe  0.228  0.228  0.202
Fe  0.772  0.772  0.798
Te  0.108  0.892  0.500
Te  0.892  0.108  0.500
I  0.000  0.000  0.000
I  0.001  0.689  0.692
I  0.311  0.999  0.308
I  0.458  0.458  0.808
I  0.542  0.542  0.192
I  0.689  0.001  0.692
I  0.999  0.311  0.308



Record 9
Entry from Alexandria: a relaxed TlFeTeI2 crystal (PBE-GGA).

Values from the calculation:
ρ	5.014	g cm⁻³
total moment	0.77	μB per atom
formation energy (no corrections)	835	meV per atom
SG	P4/mmm

Cell lengths 6.014, 6.014, 5.875 Å; angles 90.00, 90.00, 90.00 degrees
Atoms (fractional coordinates):
Tl  0.000  0.000  0.000
Fe  0.500  0.500  0.500
Te  0.000  0.000  0.500
I  0.000  0.500  0.000
I  0.500  0.000  0.000



Record 10
Entry from Alexandria: a relaxed TlFeTe2I crystal (PBE-GGA).

Values from the calculation:
ρ	5.331	g cm⁻³
total moment	0.87	μB per atom
formation energy (no corrections)	1034	meV per atom
SG	P4/mmm

Cell lengths 5.780, 5.780, 5.988 Å; angles 90.00, 90.00, 90.00 degrees
Atoms (fractional coordinates):
Tl  0.000  0.000  0.000
Fe  0.500  0.500  0.500
Te  0.000  0.500  0.000
Te  0.500  0.000  0.000
I  0.000  0.000  0.500



Record 11
Entry from Alexandria: a relaxed TlFeTeI2 crystal (PBE-GGA).

Values from the calculation:
ρ	6.775	g cm⁻³
total moment	0.01	μB per atom
formation energy (no corrections)	99	meV per atom
SG	P4/mmm

Cell lengths 5.705, 5.705, 4.832 Å; angles 90.00, 90.00, 90.00 degrees
Atoms (fractional coordinates):
Tl  0.000  0.000  0.000
Fe  0.500  0.500  0.500
Te  0.500  0.500  0.000
I  0.000  0.500  0.500
I  0.500  0.000  0.500



Record 12
Entry from Alexandria: a relaxed TlFeTe2I crystal (PBE-GGA).

Values from the calculation:
ρ	7.099	g cm⁻³
total moment	0.00	μB per atom
formation energy (no corrections)	171	meV per atom
SG	P4/mmm

Cell lengths 5.016, 5.016, 5.973 Å; angles 90.00, 90.00, 90.00 degrees
Atoms (fractional coordinates):
Tl  0.000  0.000  0.000
Fe  0.500  0.500  0.500
Te  0.000  0.500  0.500
Te  0.500  0.000  0.500
I  0.500  0.500  0.000



Record 13
Entry from Alexandria: a relaxed VFeTe2I crystal (PBE-GGA).

Values from the calculation:
ρ	5.317	g cm⁻³
total moment	1.12	μB per atom
formation energy (no corrections)	728	meV per atom
SG	P4/mmm

Cell lengths 5.197, 5.197, 5.653 Å; angles 90.00, 90.00, 90.00 degrees
Atoms (fractional coordinates):
V  0.000  0.000  0.000
Fe  0.500  0.500  0.500
Te  0.000  0.500  0.000
Te  0.500  0.000  0.000
I  0.000  0.000  0.500